{
  "formula": "Pr2CdCu3",
  "functional": "PBE",
  "state": "relaxed",
  "cell": [[-2.011, 2.012, 8.365], [2.011, -2.012, 8.365], [2.011, 2.012, -8.365]],
  "species": ["Pr", "Pr", "Cd", "Cu", "Cu", "Cu"],
  "fractional_positions": [[0.000, 0.000, 0.000], [0.777, 0.277, 0.500], [0.604, 0.604, 0.000], [0.204, 0.704, 0.500], [0.351, 0.851, 0.500], [0.435, 0.435, 0.000]],
  "magmom_total_mub_per_fu": 0.00,
  "e_form_ev_per_atom": -0.179,
  "dos_ef_per_ev_fu": 3.0,
  "mass_density_g_cm3": 7.17,
  "e_above_lowest_polymorph_ev_per_atom": 0.000
}

***

{
  "formula": "Pr4CdCu2",
  "functional": "PBE",
  "state": "relaxed",
  "cell": [[2.563, 1.479, 8.933], [-2.563, 1.479, 8.933], [0.000, -2.959, 8.933]],
  "species": ["Pr", "Pr", "Pr", "Pr", "Cd", "Cu", "Cu"],
  "fractional_positions": [[0.118, 0.118, 0.118], [0.292, 0.292, 0.292], [0.708, 0.708, 0.708], [0.882, 0.882, 0.882], [0.500, 0.500, 0.500], [0.401, 0.401, 0.401], [0.599, 0.599, 0.599]],
  "magmom_total_mub_per_fu": 0.00,
  "e_form_ev_per_atom": -0.003,
  "dos_ef_per_ev_fu": 8.9,
  "mass_density_g_cm3": 6.56
}

***

{
  "formula": "Pr12Cd6Cu",
  "functional": "PBE",
  "state": "relaxed",
  "cell": [[5.799, 3.348, 4.906], [-5.799, 3.348, 4.906], [0.000, -6.696, 4.906]],
  "species": ["Pr", "Pr", "Pr", "Pr", "Pr", "Pr", "Pr", "Pr", "Pr", "Pr", "Pr", "Pr", "Cd", "Cd", "Cd", "Cd", "Cd", "Cd", "Cu"],
  "fractional_positions": [[0.029, 0.306, 0.946], [0.054, 0.971, 0.694], [0.134, 0.356, 0.478], [0.306, 0.946, 0.029], [0.356, 0.478, 0.134], [0.478, 0.134, 0.356], [0.522, 0.866, 0.644], [0.644, 0.522, 0.866], [0.694, 0.054, 0.971], [0.866, 0.644, 0.522], [0.946, 0.029, 0.306], [0.971, 0.694, 0.054], [0.242, 0.755, 0.394], [0.245, 0.606, 0.758], [0.394, 0.242, 0.755], [0.606, 0.758, 0.245], [0.755, 0.394, 0.242], [0.758, 0.245, 0.606], [0.500, 0.500, 0.500]],
  "magmom_total_mub_per_fu": 0.00,
  "e_form_ev_per_atom": -0.096,
  "dos_ef_per_ev_fu": 25.0,
  "mass_density_g_cm3": 7.06
}

***

{
  "formula": "PrCd2Cu2",
  "functional": "PBE",
  "state": "relaxed",
  "cell": [[5.130, -2.051, 0.000], [5.130, 2.051, 0.000], [-1.276, 0.000, 5.059]],
  "species": ["Pr", "Cd", "Cd", "Cu", "Cu"],
  "fractional_positions": [[0.000, 0.000, 0.000], [0.354, 0.354, 0.430], [0.646, 0.646, 0.570], [0.277, 0.277, 0.885], [0.723, 0.723, 0.115]],
  "magmom_total_mub_per_fu": 0.00,
  "e_form_ev_per_atom": -0.187,
  "dos_ef_per_ev_fu": 2.3,
  "mass_density_g_cm3": 7.69
}

***

{
  "formula": "PrCdCu",
  "functional": "PBE",
  "state": "relaxed",
  "cell": [[7.194, 0.000, 0.000], [0.000, 4.529, 0.000], [0.000, 0.000, 8.442]],
  "species": ["Pr", "Pr", "Pr", "Pr", "Cd", "Cd", "Cd", "Cd", "Cu", "Cu", "Cu", "Cu"],
  "fractional_positions": [[0.042, 0.250, 0.181], [0.458, 0.750, 0.681], [0.542, 0.250, 0.319], [0.958, 0.750, 0.819], [0.146, 0.250, 0.559], [0.354, 0.750, 0.059], [0.646, 0.250, 0.941], [0.854, 0.750, 0.441], [0.239, 0.750, 0.377], [0.261, 0.250, 0.877], [0.739, 0.750, 0.123], [0.761, 0.250, 0.623]],
  "magmom_total_mub_per_fu": 0.00,
  "e_form_ev_per_atom": -0.237,
  "dos_ef_per_ev_fu": 2.2,
  "mass_density_g_cm3": 7.65,
  "e_above_lowest_polymorph_ev_per_atom": 0.022
}

***

{
  "formula": "Pr2CdCu3",
  "functional": "PBE",
  "state": "relaxed",
  "cell": [[0.000, 4.546, 7.755], [3.761, 0.000, 7.755], [3.761, 4.546, 0.000]],
  "species": ["Pr", "Pr", "Pr", "Pr", "Cd", "Cd", "Cu", "Cu", "Cu", "Cu", "Cu", "Cu"],
  "fractional_positions": [[0.241, 0.759, 0.759], [0.250, 0.250, 0.250], [0.750, 0.750, 0.750], [0.759, 0.241, 0.241], [0.334, 0.334, 0.666], [0.666, 0.666, 0.334], [0.161, 0.161, 0.839], [0.161, 0.677, 0.323], [0.323, 0.839, 0.161], [0.677, 0.161, 0.839], [0.839, 0.323, 0.677], [0.839, 0.839, 0.161]],
  "magmom_total_mub_per_fu": 0.00,
  "e_form_ev_per_atom": -0.172,
  "dos_ef_per_ev_fu": 4.2,
  "mass_density_g_cm3": 7.32,
  "e_above_lowest_polymorph_ev_per_atom": 0.007
}

***

{
  "formula": "PrCdCu",
  "functional": "PBE",
  "state": "relaxed",
  "cell": [[13.573, 0.000, 0.000], [0.000, 3.973, 0.000], [0.000, 0.000, 7.751]],
  "species": ["Pr", "Pr", "Pr", "Pr", "Pr", "Pr", "Cd", "Cd", "Cd", "Cd", "Cd", "Cd", "Cu", "Cu", "Cu", "Cu", "Cu", "Cu"],
  "fractional_positions": [[0.045, 0.000, 0.240], [0.250, 0.000, 0.856], [0.455, 0.000, 0.240], [0.545, 0.000, 0.760], [0.750, 0.000, 0.144], [0.955, 0.000, 0.760], [0.123, 0.500, 0.572], [0.250, 0.500, 0.202], [0.377, 0.500, 0.572], [0.623, 0.500, 0.428], [0.750, 0.500, 0.798], [0.877, 0.500, 0.428], [0.090, 0.500, 0.949], [0.250, 0.000, 0.449], [0.410, 0.500, 0.949], [0.590, 0.500, 0.051], [0.750, 0.000, 0.551], [0.910, 0.500, 0.051]],
  "magmom_total_mub_per_fu": 0.00,
  "e_form_ev_per_atom": -0.259,
  "dos_ef_per_ev_fu": 2.0,
  "mass_density_g_cm3": 7.55,
  "e_above_lowest_polymorph_ev_per_atom": 0.000
}

***

{
  "formula": "Pr5CdCu2",
  "functional": "PBE",
  "state": "relaxed",
  "cell": [[-4.161, 4.161, 6.557], [4.161, -4.161, 6.557], [4.161, 4.161, -6.557]],
  "species": ["Pr", "Pr", "Pr", "Pr", "Pr", "Pr", "Pr", "Pr", "Pr", "Pr", "Cd", "Cd", "Cu", "Cu", "Cu", "Cu"],
  "fractional_positions": [[0.000, 0.000, 0.000], [0.013, 0.513, 0.811], [0.202, 0.013, 0.500], [0.298, 0.798, 0.811], [0.487, 0.298, 0.500], [0.500, 0.500, 0.000], [0.513, 0.702, 0.500], [0.702, 0.202, 0.189], [0.798, 0.987, 0.500], [0.987, 0.487, 0.189], [0.250, 0.250, 0.000], [0.750, 0.750, 0.000], [0.127, 0.373, 0.500], [0.373, 0.873, 0.246], [0.627, 0.127, 0.754], [0.873, 0.627, 0.500]],
  "magmom_total_mub_per_fu": 0.00,
  "e_form_ev_per_atom": -0.127,
  "dos_ef_per_ev_fu": 9.8,
  "mass_density_g_cm3": 6.91
}

***

{
  "formula": "PrCdCu",
  "functional": "PBE",
  "state": "relaxed",
  "cell": [[4.770, 0.000, 0.000], [-2.385, 4.131, 0.000], [0.000, 0.000, 3.549]],
  "species": ["Pr", "Cd", "Cu"],
  "fractional_positions": [[0.000, 0.000, 0.000], [0.667, 0.333, 0.500], [0.333, 0.667, 0.500]],
  "magmom_total_mub_per_fu": 0.00,
  "e_form_ev_per_atom": -0.204,
  "dos_ef_per_ev_fu": 1.6,
  "mass_density_g_cm3": 7.52,
  "e_above_lowest_polymorph_ev_per_atom": 0.055
}

***

{
  "formula": "Pr6CdCu2",
  "functional": "PBE",
  "state": "relaxed",
  "cell": [[-4.888, 5.144, 5.308], [4.888, -5.144, 5.308], [4.888, 5.144, -5.308]],
  "species": ["Pr", "Pr", "Pr", "Pr", "Pr", "Pr", "Pr", "Pr", "Pr", "Pr", "Pr", "Pr", "Cd", "Cd", "Cu", "Cu", "Cu", "Cu"],
  "fractional_positions": [[0.048, 0.242, 0.806], [0.182, 0.281, 0.463], [0.182, 0.719, 0.901], [0.321, 0.017, 0.696], [0.321, 0.626, 0.304], [0.436, 0.242, 0.194], [0.564, 0.758, 0.806], [0.679, 0.374, 0.696], [0.679, 0.983, 0.304], [0.818, 0.281, 0.099], [0.818, 0.719, 0.537], [0.952, 0.758, 0.194], [0.000, 0.000, 0.000], [0.500, 0.500, 0.000], [0.116, 0.616, 0.500], [0.352, 0.000, 0.352], [0.648, 0.000, 0.648], [0.884, 0.384, 0.500]],
  "magmom_total_mub_per_fu": 0.00,
  "e_form_ev_per_atom": -0.114,
  "dos_ef_per_ev_fu": 11.2,
  "mass_density_g_cm3": 6.75
}

***

{
  "formula": "PrCd3Cu8",
  "functional": "PBE",
  "state": "relaxed",
  "cell": [[5.139, 0.000, 0.000], [-2.569, 4.450, 0.000], [0.000, 0.000, 8.310]],
  "species": ["Pr", "Cd", "Cd", "Cd", "Cu", "Cu", "Cu", "Cu", "Cu", "Cu", "Cu", "Cu"],
  "fractional_positions": [[0.000, 0.000, 0.000], [0.000, 0.000, 0.390], [0.667, 0.333, 0.490], [0.667, 0.333, 0.849], [0.167, 0.335, 0.679], [0.167, 0.833, 0.679], [0.333, 0.667, 0.431], [0.333, 0.667, 0.933], [0.502, 0.004, 0.192], [0.502, 0.498, 0.192], [0.665, 0.833, 0.679], [0.996, 0.498, 0.192]],
  "magmom_total_mub_per_fu": 0.00,
  "e_form_ev_per_atom": -0.066,
  "dos_ef_per_ev_fu": 5.3,
  "mass_density_g_cm3": 8.62,
  "e_above_lowest_polymorph_ev_per_atom": 0.008
}

***

{
  "formula": "Pr3Cd2Cu",
  "functional": "PBE",
  "state": "relaxed",
  "cell": [[3.755, 0.000, 0.000], [0.000, 3.755, 0.000], [0.000, 0.000, 11.669]],
  "species": ["Pr", "Pr", "Pr", "Cd", "Cd", "Cu"],
  "fractional_positions": [[0.000, 0.000, 0.000], [0.000, 0.000, 0.354], [0.000, 0.000, 0.646], [0.500, 0.500, 0.174], [0.500, 0.500, 0.826], [0.500, 0.500, 0.500]],
  "magmom_total_mub_per_fu": 0.08,
  "e_form_ev_per_atom": -0.244,
  "dos_ef_per_ev_fu": 6.7,
  "mass_density_g_cm3": 7.18,
  "e_above_lowest_polymorph_ev_per_atom": 0.000
}